The following is a GGA-PBE calculation of a relaxed Cd2CoSb crystal, from Alexandria.

Lattice parameters (Å, degrees): 5.244 5.244 5.244 131.67 131.67 70.75
Positions (direct):
Cd 0.000 0.000 0.000
Cd 0.750 0.250 0.500
Co 0.250 0.750 0.500
Sb 0.500 0.500 0.000

## Properties
- theoretical density (g/cm3) = 8.54
- magnetic moment (μB per atom) = 0.275
- DOS at the Fermi energy (states/eV/atom) = 0.996
- calculated total energy (eV/cell) = -11.68
- formation energy without anion corrections (kcal/mol of atoms) = 7.95
- space group = I-4m2



The following is a GGA-PBE calculation of a relaxed In2H2Ir crystal, from Alexandria.

Lattice parameters (Å, degrees): 3.026 7.014 7.550 78.77 79.69 80.32
Positions (direct):
In 0.027 0.342 0.171
In 0.194 0.691 0.386
In 0.806 0.309 0.614
In 0.973 0.658 0.829
H 0.253 0.892 0.074
H 0.443 0.963 0.619
H 0.557 0.037 0.381
H 0.747 0.108 0.926
Ir 0.333 0.003 0.826
Ir 0.667 0.997 0.174

## Properties
- theoretical density (g/cm3) = 9.19
- magnetic moment (μB per atom) = 0.000
- DOS at the Fermi energy (states/eV/atom) = 0.266
- calculated total energy (eV/cell) = -41.37
- space group = P-1



The following is a GGA-PBE calculation of a relaxed CdMoSN2 crystal, from Alexandria.

Lattice parameters (Å, degrees): 3.900 3.900 5.160 90.00 90.00 90.00
Positions (direct):
Cd 0.000 0.000 0.000
Mo 0.500 0.500 0.500
S 0.500 0.500 0.000
N 0.000 0.500 0.500
N 0.500 0.000 0.500

## Properties
- theoretical density (g/cm3) = 5.68
- magnetic moment (μB per atom) = 0.000
- DOS at the Fermi energy (states/eV/atom) = 0.299
- calculated total energy (eV/cell) = -31.27
- formation energy without anion corrections (kcal/mol of atoms) = 5.79
- space group = P4/mmm



The following is a GGA-PBE calculation of a relaxed NaLaMo2S crystal, from Alexandria.

Lattice parameters (Å, degrees): 4.587 4.587 5.090 90.00 90.00 90.00
Positions (direct):
Na 0.000 0.000 0.000
La 0.500 0.500 0.000
Mo 0.000 0.500 0.500
Mo 0.500 0.000 0.500
S 0.000 0.000 0.500

## Properties
- theoretical density (g/cm3) = 5.98
- magnetic moment (μB per atom) = 0.000
- DOS at the Fermi energy (states/eV/atom) = 1.445
- calculated total energy (eV/cell) = -30.48
- formation energy without anion corrections (kcal/mol of atoms) = 7.18
- space group = P4/mmm



The following is a GGA-PBE calculation of a relaxed PrSmRh4 crystal, from Alexandria.

Lattice parameters (Å, degrees): 5.413 5.413 5.413 60.00 60.00 60.00
Positions (direct):
Pr 0.000 0.000 0.000
Sm 0.750 0.750 0.750
Rh 0.375 0.375 0.375
Rh 0.375 0.375 0.875
Rh 0.375 0.875 0.375
Rh 0.875 0.375 0.375

## Properties
- theoretical density (g/cm3) = 10.41
- magnetic moment (μB per atom) = 0.000
- DOS at the Fermi energy (states/eV/atom) = 0.581
- formation enthalpy at 0 K (eV/atom) = -0.66
- calculated total energy (eV/cell) = -42.86
- space group = F-43m



The following is a GGA-PBE calculation of a relaxed LaCe2Th crystal, from Alexandria.

Lattice parameters (Å, degrees): 8.839 8.839 8.839 27.40 27.40 27.40
Positions (direct):
La 0.000 0.000 0.000
Ce 0.434 0.434 0.434
Ce 0.607 0.607 0.607
Th 0.189 0.189 0.189

## Properties
- theoretical density (g/cm3) = 8.37
- magnetic moment (μB per atom) = 0.388
- DOS at the Fermi energy (states/eV/atom) = 3.129
- formation enthalpy at 0 K (eV/atom) = 0.51
- calculated total energy (eV/cell) = -22.19
- space group = R3m



The following is a GGA-PBE calculation of a relaxed Y2Pd5Au5 crystal, from Alexandria.

Lattice parameters (Å, degrees): 6.465 6.465 9.356 113.57 113.57 37.76
Positions (direct):
Y 0.084 0.084 0.248
Y 0.916 0.916 0.752
Pd 0.000 0.000 0.500
Pd 0.167 0.167 0.995
Pd 0.255 0.255 0.753
Pd 0.745 0.745 0.247
Pd 0.833 0.833 0.005
Au 0.337 0.337 0.496
Au 0.407 0.407 0.245
Au 0.500 0.500 0.000
Au 0.593 0.593 0.755
Au 0.663 0.663 0.504

## Properties
- theoretical density (g/cm3) = 12.97
- magnetic moment (μB per atom) = 0.000
- DOS at the Fermi energy (states/eV/atom) = 0.313
- formation enthalpy at 0 K (eV/atom) = -0.57
- calculated total energy (eV/cell) = -62.14
- space group = C2/m



The following is a GGA-PBE calculation of a relaxed TmHgPd14 crystal, from Alexandria.

Lattice parameters (Å, degrees): 5.688 5.688 7.998 90.00 90.00 90.00
Positions (direct):
Tm 0.000 0.000 0.000
Hg 0.500 0.500 0.000
Pd 0.000 0.000 0.500
Pd 0.000 0.500 0.000
Pd 0.000 0.500 0.500
Pd 0.249 0.249 0.256
Pd 0.249 0.249 0.744
Pd 0.249 0.751 0.256
Pd 0.249 0.751 0.744
Pd 0.500 0.000 0.000
Pd 0.500 0.000 0.500
Pd 0.500 0.500 0.500
Pd 0.751 0.249 0.256
Pd 0.751 0.249 0.744
Pd 0.751 0.751 0.256
Pd 0.751 0.751 0.744

## Properties
- theoretical density (g/cm3) = 11.93
- magnetic moment (μB per atom) = 0.000
- DOS at the Fermi energy (states/eV/atom) = 1.911
- formation enthalpy at 0 K (eV/atom) = -0.24
- calculated total energy (eV/cell) = -81.31
- space group = P4/mmm